Material: Nd4SmTm3
Method: DFT, PBE-GGA
State: relaxed

a = 7.1930 Å, b = 7.1930 Å, c = 10.2047 Å
α = 90.00°, β = 90.00°, γ = 90.00°
Fractional positions:
Nd 0.4999 0.8105 0.5000
Tm 0.7521 0.5606 0.2500
Tm 0.2479 0.0606 0.2500
Sm 0.4999 0.3108 0.5000
Nd 0.2485 0.5606 0.7502
Nd 0.2485 0.5606 0.2498
Nd 0.7515 0.0606 0.2502
Tm 0.7521 0.5606 0.7500
Tm 0.0000 0.8104 0.5000
Nd 0.5001 0.3105 0.0000
Nd 0.7515 0.0606 0.7498
Tm 0.2479 0.0606 0.7500
Tm 0.0000 0.3104 0.0000
Nd 0.0000 0.8107 0.0000
Sm 0.5001 0.8108 0.0000
Nd 0.0000 0.3107 0.5000

Results
* excess energy over the best structure of this formula in the dataset: 0 meV/atom
* final energy: -4.6313 eV/atom
* energy of formation: 19 meV/atom
* theoretical density: 7.76 g/cm³